# Li2AlBiH | Alexandria | PBE | optimized geometry
data_Li2AlBiH
_cell_length_a 4.2737
_cell_length_b 4.2737
_cell_length_c 4.5052
_cell_angle_alpha 90.00
_cell_angle_beta 90.00
_cell_angle_gamma 90.00
_space_group_name_H-M_alt 'P 4/m m m'
_space_group_IT_number 123
_space_group_name_Hall '-P 4 2'
loop_
_atom_site_label
_atom_site_fract_x
_atom_site_fract_y
_atom_site_fract_z
_atom_site_occupancy
Li1 0.0000 0.5000 0.0000 1
Al1 0.0000 0.0000 0.5000 1
Bi1 0.5000 0.5000 0.5000 1
H1 0.0000 0.0000 0.0000 1
# Electronic total energy in eV/atom: -3.157
# Volume in Å³/f.u.: 82.3
# Crystal system: tetragonal